[1]
Material: TbTm8Sc2
Method: DFT, PBE
State: optimized geometry

Summary:
- ΔE_f: 1.4 eV per formula unit
- Density of states at the Fermi level: 17.588 states/eV/cell
- Size of the total moment: 0.0 Bohr magnetons per cell
- E above lowest polymorph: 87.1 meV/atom

Cell lengths 9.0777, 9.0777, 9.0777 Å; angles 146.18, 127.40, 64.02 degrees
Atoms (fractional coordinates):
1 Tb 0.0000 0.0000 0.0000
2 Tm 0.1510 0.8570 0.2939
3 Tm 0.1627 0.6627 0.5000
4 Tm 0.2986 0.5000 0.7986
5 Tm 0.4369 0.1430 0.2939
6 Tm 0.5631 0.8570 0.7061
7 Tm 0.7014 0.5000 0.2014
8 Tm 0.8373 0.3373 0.5000
9 Tm 0.8490 0.1430 0.7061
10 Sc 0.2989 0.2989 0.0000
11 Sc 0.7011 0.7011 0.0000


[2]
Material: CaPrScAl
Method: DFT, PBE
State: optimized geometry

Summary:
- ΔE_f: -0.2 eV per formula unit
- Density of states at the Fermi level: 3.080 states/eV/cell
- Size of the total moment: 0.0 Bohr magnetons per cell

Cell lengths 5.3404, 5.3404, 5.3404 Å; angles 60.00, 60.00, 60.00 degrees
Atoms (fractional coordinates):
1 Ca 0.0000 0.0000 0.0000
2 Pr 0.2500 0.2500 0.2500
3 Sc 0.7500 0.7500 0.7500
4 Al 0.5000 0.5000 0.5000


[3]
Material: TlGaPtSe
Method: DFT, PBE
State: optimized geometry

Summary:
- Density of states at the Fermi level: 1.075 states/eV/cell
- ΔE_f (raw): -0.214 eV per atom
- Size of the total moment: 0.0 Bohr magnetons per cell
- E above lowest polymorph: 99.2 meV/atom

Cell lengths 4.2444, 5.5724, 5.5724 Å; angles 51.40, 90.00, 90.00 degrees
Atoms (fractional coordinates):
1 Tl 0.0000 0.0000 0.0000
2 Ga 0.5000 0.3445 0.3445
3 Pt 0.5000 0.8159 0.8159
4 Se 0.0000 0.6621 0.6621


Repeat the first record exactly.
Material: TbTm8Sc2
Method: DFT, PBE
State: optimized geometry

Summary:
- ΔE_f: 1.4 eV per formula unit
- Density of states at the Fermi level: 17.588 states/eV/cell
- Size of the total moment: 0.0 Bohr magnetons per cell
- E above lowest polymorph: 87.1 meV/atom

Cell lengths 9.0777, 9.0777, 9.0777 Å; angles 146.18, 127.40, 64.02 degrees
Atoms (fractional coordinates):
1 Tb 0.0000 0.0000 0.0000
2 Tm 0.1510 0.8570 0.2939
3 Tm 0.1627 0.6627 0.5000
4 Tm 0.2986 0.5000 0.7986
5 Tm 0.4369 0.1430 0.2939
6 Tm 0.5631 0.8570 0.7061
7 Tm 0.7014 0.5000 0.2014
8 Tm 0.8373 0.3373 0.5000
9 Tm 0.8490 0.1430 0.7061
10 Sc 0.2989 0.2989 0.0000
11 Sc 0.7011 0.7011 0.0000